[1]
# PmInSn2Cl8 (GGA-PBE, optimized geometry)
data_PmInSn2Cl8
_space_group_name_H-M_alt 'P -1'
_space_group_IT_number 2
_cell_length_a 6.501
_cell_length_b 6.905
_cell_length_c 9.058
_cell_angle_alpha 86.91
_cell_angle_beta 87.70
_cell_angle_gamma 88.59
loop_
_space_group_symop_operation_xyz
'x,y,z'
'-x,-y,-z'
loop_
_atom_site_label
_atom_site_type_symbol
_atom_site_fract_x
_atom_site_fract_y
_atom_site_fract_z
_atom_site_occupancy
Pm1 Pm 0.000 0.000 0.000 1
In1 In 0.000 0.000 0.500 1
Sn1 Sn 0.498 0.490 0.747 1
Cl1 Cl 0.218 0.820 0.781 1
Cl2 Cl 0.250 0.319 0.966 1
Cl3 Cl 0.250 0.855 0.218 1
Cl4 Cl 0.282 0.357 0.545 1
# VASP energy: -46.90 eV/f.u.
# Formation energy (no corrections): -1386 meV per atom
# Total magnetic moment: 0.0 μB per cell

[2]
# NaGe2Pt (GGA-PBE, optimized geometry)
data_NaGe2Pt
_space_group_name_H-M_alt 'I m m m'
_space_group_IT_number 71
_space_group_name_Hall '-I 2 2'
_cell_length_a 4.542
_cell_length_b 8.900
_cell_length_c 15.804
_cell_angle_alpha 90.00
_cell_angle_beta 90.00
_cell_angle_gamma 90.00
loop_
_atom_site_label
_atom_site_type_symbol
_atom_site_fract_x
_atom_site_fract_y
_atom_site_fract_z
_atom_site_occupancy
Na1 Na 0.000 0.000 0.199 1
Na2 Na 0.000 0.237 0.000 1
Ge1 Ge 0.000 0.000 0.419 1
Ge2 Ge 0.000 0.354 0.195 1
Ge3 Ge 0.000 0.500 0.422 1
Pt1 Pt 0.000 0.252 0.349 1
# VASP energy: -18.05 eV/f.u.
# Total magnetic moment: 0.0 μB per cell

[3]
# LaAs2BrN (GGA-PBE, optimized geometry)
data_LaAs2BrN
_space_group_name_H-M_alt 'P 4/m m m'
_space_group_IT_number 123
_space_group_name_Hall '-P 4 2'
_cell_length_a 6.013
_cell_length_b 6.013
_cell_length_c 5.929
_cell_angle_alpha 90.00
_cell_angle_beta 90.00
_cell_angle_gamma 90.00
loop_
_atom_site_label
_atom_site_type_symbol
_atom_site_fract_x
_atom_site_fract_y
_atom_site_fract_z
_atom_site_occupancy
La1 La 0.000 0.000 0.000 1
As1 As 0.000 0.500 0.000 1
Br1 Br 0.000 0.000 0.500 1
N1 N 0.500 0.500 0.500 1
# VASP energy: -19.23 eV/f.u.
# Formation energy (no corrections): 1000 meV per atom
# Total magnetic moment: 5.5 μB per cell

> What is the formula in the first record?

PmInSn2Cl8